[1]
First-principles (PBE-GGA) data for TbGdCu2B2N2 after structural relaxation, as listed in OQMD.

* uncorrected energy: -6.7204 eV/atom
* calculated density: 8.5 g/cm³
* SG: P4mm, No. 99

Cell lengths 3.531, 3.531, 7.717 Å; angles 90.00, 90.00, 90.00 degrees
Sites, in units of the cell vectors:
Tb 0.000 0.000 0.000
Gd 0.500 0.500 0.331
Cu 0.000 0.500 0.666
Cu 0.500 0.000 0.666
B 0.000 0.000 0.492
B 0.500 0.500 0.838
N 0.000 0.000 0.305
N 0.500 0.500 0.025


[2]
First-principles (PBE-GGA) data for CuGeB4 after structural relaxation, as listed in OQMD.

* polymorph energy (0 for the lowest one): 0.000 eV per atom
* calculated density: 5.4 g/cm³
* SG: P6/mmm, No. 191

Cell lengths 3.062, 3.062, 6.858 Å; angles 90.00, 90.00, 120.00 degrees
Sites, in units of the cell vectors:
Cu 0.000 0.000 0.000
Ge 0.000 0.000 0.500
B 0.333 0.667 0.236
B 0.333 0.667 0.764
B 0.667 0.333 0.236
B 0.667 0.333 0.764


[3]
First-principles (PBE-GGA) data for Cu2GeB after structural relaxation, as listed in OQMD.

* uncorrected energy: -4.0672 eV/atom
* calculated density: 7.1 g/cm³
* SG: Pm-3m, No. 221

Cell lengths 5.824, 5.824, 5.824 Å; angles 90.00, 90.00, 90.00 degrees
Sites, in units of the cell vectors:
Cu 0.214 0.214 0.214
Cu 0.214 0.214 0.786
Cu 0.214 0.786 0.214
Cu 0.214 0.786 0.786
Cu 0.786 0.214 0.214
Cu 0.786 0.214 0.786
Cu 0.786 0.786 0.214
Cu 0.786 0.786 0.786
Ge 0.000 0.500 0.500
Ge 0.500 0.000 0.500
Ge 0.500 0.500 0.000
Ge 0.500 0.500 0.500
B 0.000 0.000 0.000
B 0.000 0.000 0.500
B 0.000 0.500 0.000
B 0.500 0.000 0.000


[4]
First-principles (PBE-GGA) data for CuGeB4 after structural relaxation, as listed in OQMD.

* polymorph energy (0 for the lowest one): 0.003 eV per atom
* calculated density: 5.4 g/cm³
* SG: Immm, No. 71

Cell lengths 4.576, 4.576, 4.576 Å; angles 141.13, 109.25, 83.78 degrees
Sites, in units of the cell vectors:
Cu 0.000 0.000 0.000
Ge 0.500 0.500 0.000
B 0.081 0.747 0.334
B 0.412 0.747 0.666
B 0.588 0.253 0.334
B 0.919 0.253 0.666


[5]
First-principles (PBE-GGA) data for Cu2GeB after structural relaxation, as listed in OQMD.

* uncorrected energy: -4.0671 eV/atom
* calculated density: 7.0 g/cm³
* SG: Pm-3m, No. 221

Cell lengths 5.833, 5.833, 5.833 Å; angles 90.00, 90.00, 90.00 degrees
Sites, in units of the cell vectors:
Cu 0.215 0.215 0.215
Cu 0.215 0.215 0.785
Cu 0.215 0.785 0.215
Cu 0.215 0.785 0.785
Cu 0.785 0.215 0.215
Cu 0.785 0.215 0.785
Cu 0.785 0.785 0.215
Cu 0.785 0.785 0.785
Ge 0.000 0.500 0.500
Ge 0.500 0.000 0.500
Ge 0.500 0.500 0.000
Ge 0.500 0.500 0.500
B 0.000 0.000 0.000
B 0.000 0.000 0.500
B 0.000 0.500 0.000
B 0.500 0.000 0.000


[6]
First-principles (PBE-GGA) data for CuGe2B after structural relaxation, as listed in OQMD.

* uncorrected energy: -3.9470 eV/atom
* calculated density: 6.3 g/cm³
* SG: F-43m, No. 216

Cell lengths 4.346, 4.346, 4.346 Å; angles 60.00, 60.00, 60.00 degrees
Sites, in units of the cell vectors:
Cu 0.000 0.000 0.000
Ge 0.250 0.250 0.250
Ge 0.500 0.500 0.500
B 0.750 0.750 0.750


[7]
First-principles (PBE-GGA) data for Cu6Ge2B after structural relaxation, as listed in OQMD.

* uncorrected energy: -4.0781 eV/atom
* calculated density: 7.9 g/cm³
* SG: P-62m, No. 189

Cell lengths 6.800, 6.800, 2.806 Å; angles 90.00, 90.00, 120.00 degrees
Sites, in units of the cell vectors:
Cu 0.000 0.247 0.000
Cu 0.000 0.643 0.500
Cu 0.247 0.000 0.000
Cu 0.357 0.357 0.500
Cu 0.643 0.000 0.500
Cu 0.753 0.753 0.000
Ge 0.333 0.667 0.000
Ge 0.667 0.333 0.000
B 0.000 0.000 0.500


[8]
First-principles (PBE-GGA) data for CuNiGeB after structural relaxation, as listed in OQMD.

* polymorph energy (0 for the lowest one): 0.000 eV per atom
* calculated density: 7.6 g/cm³
* SG: F-43m, No. 216

Cell lengths 3.987, 3.987, 3.987 Å; angles 60.00, 60.00, 60.00 degrees
Sites, in units of the cell vectors:
Cu 0.000 0.000 0.000
Ni 0.500 0.500 0.500
Ge 0.750 0.750 0.750
B 0.250 0.250 0.250


[9]
First-principles (PBE-GGA) data for CuNiGeB after structural relaxation, as listed in OQMD.

* polymorph energy (0 for the lowest one): 0.101 eV per atom
* calculated density: 7.4 g/cm³
* SG: F-43m, No. 216

Cell lengths 4.026, 4.026, 4.026 Å; angles 60.00, 60.00, 60.00 degrees
Sites, in units of the cell vectors:
Cu 0.000 0.000 0.000
Ni 0.250 0.250 0.250
Ge 0.500 0.500 0.500
B 0.750 0.750 0.750


[10]
First-principles (PBE-GGA) data for CuGeBPd after structural relaxation, as listed in OQMD.

* polymorph energy (0 for the lowest one): 0.000 eV per atom
* calculated density: 8.2 g/cm³
* SG: F-43m, No. 216

Cell lengths 4.174, 4.174, 4.174 Å; angles 60.00, 60.00, 60.00 degrees
Sites, in units of the cell vectors:
Cu 0.000 0.000 0.000
Ge 0.250 0.250 0.250
B 0.750 0.750 0.750
Pd 0.500 0.500 0.500


[11]
First-principles (PBE-GGA) data for CuGeBPd after structural relaxation, as listed in OQMD.

* polymorph energy (0 for the lowest one): 0.050 eV per atom
* calculated density: 8.2 g/cm³
* SG: F-43m, No. 216

Cell lengths 4.179, 4.179, 4.179 Å; angles 60.00, 60.00, 60.00 degrees
Sites, in units of the cell vectors:
Cu 0.000 0.000 0.000
Ge 0.750 0.750 0.750
B 0.500 0.500 0.500
Pd 0.250 0.250 0.250


[12]
First-principles (PBE-GGA) data for CuGeBPt after structural relaxation, as listed in OQMD.

* polymorph energy (0 for the lowest one): 0.087 eV per atom
* calculated density: 10.8 g/cm³
* SG: F-43m, No. 216

Cell lengths 4.205, 4.205, 4.205 Å; angles 60.00, 60.00, 60.00 degrees
Sites, in units of the cell vectors:
Cu 0.000 0.000 0.000
Ge 0.750 0.750 0.750
B 0.500 0.500 0.500
Pt 0.250 0.250 0.250


[13]
First-principles (PBE-GGA) data for CuGeBPt after structural relaxation, as listed in OQMD.

* polymorph energy (0 for the lowest one): 0.000 eV per atom
* calculated density: 11.0 g/cm³
* SG: F-43m, No. 216

Cell lengths 4.181, 4.181, 4.181 Å; angles 60.00, 60.00, 60.00 degrees
Sites, in units of the cell vectors:
Cu 0.000 0.000 0.000
Ge 0.750 0.750 0.750
B 0.250 0.250 0.250
Pt 0.500 0.500 0.500


[14]
First-principles (PBE-GGA) data for Hf3CuB2 after structural relaxation, as listed in OQMD.

* uncorrected energy: -8.1101 eV/atom
* calculated density: 10.9 g/cm³
* SG: P6_3/mmc, No. 194

Cell lengths 3.397, 3.397, 18.891 Å; angles 90.00, 90.00, 120.00 degrees
Sites, in units of the cell vectors:
Hf 0.000 0.000 0.000
Hf 0.000 0.000 0.500
Hf 0.333 0.667 0.144
Hf 0.333 0.667 0.356
Hf 0.667 0.333 0.644
Hf 0.667 0.333 0.856
Cu 0.000 0.000 0.250
Cu 0.000 0.000 0.750
B 0.333 0.667 0.576
B 0.333 0.667 0.924
B 0.667 0.333 0.076
B 0.667 0.333 0.424


[15]
First-principles (PBE-GGA) data for HfCuB2 after structural relaxation, as listed in OQMD.

* uncorrected energy: -5.9323 eV/atom
* calculated density: 9.4 g/cm³
* SG: F-43m, No. 216

Cell lengths 4.044, 4.044, 4.044 Å; angles 60.00, 60.00, 60.00 degrees
Sites, in units of the cell vectors:
Hf 0.000 0.000 0.000
Cu 0.750 0.750 0.750
B 0.250 0.250 0.250
B 0.500 0.500 0.500


[16]
First-principles (PBE-GGA) data for HfCuB4 after structural relaxation, as listed in OQMD.

* polymorph energy (0 for the lowest one): 0.040 eV per atom
* calculated density: 8.5 g/cm³
* SG: P6/mmm, No. 191

Cell lengths 3.113, 3.113, 6.625 Å; angles 90.00, 90.00, 120.00 degrees
Sites, in units of the cell vectors:
Hf 0.000 0.000 0.000
Cu 0.000 0.000 0.500
B 0.333 0.667 0.258
B 0.333 0.667 0.742
B 0.667 0.333 0.258
B 0.667 0.333 0.742


[17]
First-principles (PBE-GGA) data for HfCuB4 after structural relaxation, as listed in OQMD.

* polymorph energy (0 for the lowest one): 0.000 eV per atom
* calculated density: 8.3 g/cm³
* SG: Immm, No. 71

Cell lengths 4.672, 4.672, 4.672 Å; angles 141.23, 113.39, 79.82 degrees
Sites, in units of the cell vectors:
Hf 0.000 0.000 0.000
Cu 0.500 0.500 0.000
B 0.056 0.735 0.320
B 0.415 0.735 0.680
B 0.585 0.265 0.320
B 0.944 0.265 0.680


[18]
First-principles (PBE-GGA) data for HfCuBIr after structural relaxation, as listed in OQMD.

* polymorph energy (0 for the lowest one): 0.048 eV per atom
* calculated density: 13.1 g/cm³
* SG: F-43m, No. 216

Cell lengths 4.306, 4.306, 4.306 Å; angles 60.00, 60.00, 60.00 degrees
Sites, in units of the cell vectors:
Hf 0.000 0.000 0.000
Cu 0.500 0.500 0.500
B 0.250 0.250 0.250
Ir 0.750 0.750 0.750


[19]
First-principles (PBE-GGA) data for HfCuBIr after structural relaxation, as listed in OQMD.

* polymorph energy (0 for the lowest one): 0.000 eV per atom
* calculated density: 13.3 g/cm³
* SG: F-43m, No. 216

Cell lengths 4.280, 4.280, 4.280 Å; angles 60.00, 60.00, 60.00 degrees
Sites, in units of the cell vectors:
Hf 0.000 0.000 0.000
Cu 0.750 0.750 0.750
B 0.500 0.500 0.500
Ir 0.250 0.250 0.250


[20]
First-principles (PBE-GGA) data for HfMgCuB after structural relaxation, as listed in OQMD.

* polymorph energy (0 for the lowest one): 0.221 eV per atom
* calculated density: 8.0 g/cm³
* SG: F-43m, No. 216

Cell lengths 4.325, 4.325, 4.325 Å; angles 60.00, 60.00, 60.00 degrees
Sites, in units of the cell vectors:
Hf 0.000 0.000 0.000
Mg 0.250 0.250 0.250
Cu 0.750 0.750 0.750
B 0.500 0.500 0.500


[21]
First-principles (PBE-GGA) data for HfMgCuB after structural relaxation, as listed in OQMD.

* polymorph energy (0 for the lowest one): 0.000 eV per atom
* calculated density: 8.2 g/cm³
* SG: F-43m, No. 216

Cell lengths 4.299, 4.299, 4.299 Å; angles 60.00, 60.00, 60.00 degrees
Sites, in units of the cell vectors:
Hf 0.000 0.000 0.000
Mg 0.750 0.750 0.750
Cu 0.500 0.500 0.500
B 0.250 0.250 0.250


[22]
First-principles (PBE-GGA) data for HfNbCuB after structural relaxation, as listed in OQMD.

* polymorph energy (0 for the lowest one): 0.000 eV per atom
* calculated density: 9.7 g/cm³
* SG: F-43m, No. 216

Cell lengths 4.370, 4.370, 4.370 Å; angles 60.00, 60.00, 60.00 degrees
Sites, in units of the cell vectors:
Hf 0.000 0.000 0.000
Nb 0.250 0.250 0.250
Cu 0.750 0.750 0.750
B 0.500 0.500 0.500


[23]
First-principles (PBE-GGA) data for HfCuNiB after structural relaxation, as listed in OQMD.

* polymorph energy (0 for the lowest one): 0.144 eV per atom
* calculated density: 10.5 g/cm³
* SG: F-43m, No. 216

Cell lengths 4.115, 4.115, 4.115 Å; angles 60.00, 60.00, 60.00 degrees
Sites, in units of the cell vectors:
Hf 0.000 0.000 0.000
Cu 0.250 0.250 0.250
Ni 0.750 0.750 0.750
B 0.500 0.500 0.500


[24]
First-principles (PBE-GGA) data for HfCuNiB after structural relaxation, as listed in OQMD.

* polymorph energy (0 for the lowest one): 0.034 eV per atom
* calculated density: 10.4 g/cm³
* SG: F-43m, No. 216

Cell lengths 4.127, 4.127, 4.127 Å; angles 60.00, 60.00, 60.00 degrees
Sites, in units of the cell vectors:
Hf 0.000 0.000 0.000
Cu 0.500 0.500 0.500
Ni 0.750 0.750 0.750
B 0.250 0.250 0.250


[25]
First-principles (PBE-GGA) data for HfCuNiB after structural relaxation, as listed in OQMD.

* polymorph energy (0 for the lowest one): 0.000 eV per atom
* calculated density: 10.5 g/cm³
* SG: F-43m, No. 216

Cell lengths 4.112, 4.112, 4.112 Å; angles 60.00, 60.00, 60.00 degrees
Sites, in units of the cell vectors:
Hf 0.000 0.000 0.000
Cu 0.750 0.750 0.750
Ni 0.500 0.500 0.500
B 0.250 0.250 0.250


[26]
First-principles (PBE-GGA) data for HfCuBPt after structural relaxation, as listed in OQMD.

* polymorph energy (0 for the lowest one): 0.217 eV per atom
* calculated density: 13.2 g/cm³
* SG: F-43m, No. 216

Cell lengths 4.303, 4.303, 4.303 Å; angles 60.00, 60.00, 60.00 degrees
Sites, in units of the cell vectors:
Hf 0.000 0.000 0.000
Cu 0.250 0.250 0.250
B 0.500 0.500 0.500
Pt 0.750 0.750 0.750


[27]
First-principles (PBE-GGA) data for HfCuBPt after structural relaxation, as listed in OQMD.

* polymorph energy (0 for the lowest one): 0.000 eV per atom
* calculated density: 13.9 g/cm³
* SG: F-43m, No. 216

Cell lengths 4.232, 4.232, 4.232 Å; angles 60.00, 60.00, 60.00 degrees
Sites, in units of the cell vectors:
Hf 0.000 0.000 0.000
Cu 0.250 0.250 0.250
B 0.750 0.750 0.750
Pt 0.500 0.500 0.500


[28]
First-principles (PBE-GGA) data for HfCuBPt after structural relaxation, as listed in OQMD.

* polymorph energy (0 for the lowest one): 0.147 eV per atom
* calculated density: 13.0 g/cm³
* SG: F-43m, No. 216

Cell lengths 4.321, 4.321, 4.321 Å; angles 60.00, 60.00, 60.00 degrees
Sites, in units of the cell vectors:
Hf 0.000 0.000 0.000
Cu 0.500 0.500 0.500
B 0.250 0.250 0.250
Pt 0.750 0.750 0.750